--- P ---
Entry from Alexandria via LeMat-Bulk: crystalline CaLaCuIr at its relaxed geometry (PBE-GGA).

```
CaLaCuIr
1.0
0.0000 3.5468 3.5468
3.5468 0.0000 3.5468
3.5468 3.5468 0.0000
Ca La Cu Ir
1 1 1 1
Direct
0.0000 0.0000 0.0000
0.5000 0.5000 0.5000
0.7500 0.7500 0.7500
0.2500 0.2500 0.2500
```

Values from the calculation:
For the total magnetic moment, the calculation gives 0.000 μB per formula unit.

--- Q ---
Entry from Alexandria via LeMat-Bulk: crystalline CaLaCuIr at its relaxed geometry (PBE-GGA).

```
CaLaCuIr
1.0
4.1739 0.0000 0.0000
0.0000 2.0378 5.5991
0.0000 -2.0378 5.5991
Ca La Cu Ir
1 1 1 1
Direct
0.0000 0.0000 0.0000
0.5000 0.2797 0.2797
0.5000 0.5727 0.5727
0.0000 0.7164 0.7164
```

Values from the calculation:
For the total magnetic moment, the calculation gives 0.000 μB per formula unit.

--- R ---
Entry from Alexandria via LeMat-Bulk: crystalline CaLaCuIr at its relaxed geometry (PBE-GGA).

```
CaLaCuIr
1.0
4.8877 -2.1621 0.0000
4.8877 2.1621 0.0000
-3.8101 0.0000 4.8595
Ca La Cu Ir
1 1 1 1
Direct
0.0000 0.0000 0.0000
0.4668 0.4668 0.4625
0.2388 0.2388 0.6462
0.7425 0.7425 0.3999
```

Values from the calculation:
For the total magnetic moment, the calculation gives 0.000 μB per formula unit.

--- S ---
Entry from Alexandria via LeMat-Bulk: crystalline CaLaCuIr at its relaxed geometry (PBE-GGA).

```
CaLaCuIr
1.0
3.6526 0.0000 0.0000
0.0000 4.7354 0.0000
0.0000 0.0000 5.1799
Ca La Cu Ir
1 1 1 1
Direct
0.0000 0.0000 0.0000
0.0000 0.5000 0.4990
0.5000 0.5000 0.9969
0.5000 0.0000 0.5011
```

Values from the calculation:
For the total magnetic moment, the calculation gives 0.000 μB per formula unit.

Of them, R has the lowest stability.

--- P ---
Entry from Alexandria via LeMat-Bulk: crystalline CaSmCuIr at its relaxed geometry (PBE-GGA).

```
CaSmCuIr
1.0
4.1378 0.0000 0.0000
0.0000 2.0130 5.4878
0.0000 -2.0130 5.4878
Ca Sm Cu Ir
1 1 1 1
Direct
0.0000 0.0000 0.0000
0.5000 0.2827 0.2827
0.5000 0.5756 0.5756
0.0000 0.7173 0.7173
```

Values from the calculation:
For the total magnetic moment, the calculation gives 0.000 μB per formula unit.

--- Q ---
Entry from Alexandria via LeMat-Bulk: crystalline CaSmCuIr at its relaxed geometry (PBE-GGA).

```
CaSmCuIr
1.0
0.0000 3.4897 3.4897
3.4897 0.0000 3.4897
3.4897 3.4897 0.0000
Ca Sm Cu Ir
1 1 1 1
Direct
0.0000 0.0000 0.0000
0.5000 0.5000 0.5000
0.7500 0.7500 0.7500
0.2500 0.2500 0.2500
```

Values from the calculation:
For the total magnetic moment, the calculation gives 0.000 μB per formula unit.

Of them, Q has the lowest stability.

--- P ---
Entry from Alexandria via LeMat-Bulk: crystalline K2CaCu at its relaxed geometry (PBE-GGA).

```
K2CaCu
1.0
2.1007 1.2129 11.8497
-2.1007 1.2129 11.8497
0.0000 -2.4257 11.8497
K Ca Cu
2 1 1
Direct
0.2285 0.2285 0.2285
0.7715 0.7715 0.7715
0.0000 0.0000 0.0000
0.5000 0.5000 0.5000
```

Values from the calculation:
For the total magnetic moment, the calculation gives 0.000 μB per formula unit.

--- Q ---
Entry from Alexandria via LeMat-Bulk: crystalline K2CaCu at its relaxed geometry (PBE-GGA).

```
K2CaCu
1.0
0.0000 4.3701 4.3701
4.3701 0.0000 4.3701
4.3701 4.3701 0.0000
K Ca Cu
2 1 1
Direct
0.2500 0.2500 0.2500
0.7500 0.7500 0.7500
0.0000 0.0000 0.0000
0.5000 0.5000 0.5000
```

Values from the calculation:
For the total magnetic moment, the calculation gives 0.000 μB per formula unit.

--- R ---
Entry from Alexandria via LeMat-Bulk: crystalline K2CaCu at its relaxed geometry (PBE-GGA).

```
K2CaCu
1.0
-2.4733 2.4733 6.3483
2.4733 -2.4733 6.3483
2.4733 2.4733 -6.3483
K Ca Cu
2 1 1
Direct
0.2500 0.7500 0.5000
0.7500 0.2500 0.5000
0.0000 0.0000 0.0000
0.5000 0.5000 0.0000
```

Values from the calculation:
For the total magnetic moment, the calculation gives 0.000 μB per formula unit.

Of them, Q has the lowest stability.